A plane-wave DFT calculation with GGA-PBE was carried out for a geometry-optimized V2GaCuC structure.

Calculated total energy (eV/atom): -4.787
Formation energy from the elements (meV per atom): 2130

Structure (CIF):
```
data_V2GaCuC
_cell_length_a 4.603
_cell_length_b 4.603
_cell_length_c 4.241
_cell_angle_alpha 90.00
_cell_angle_beta 90.00
_cell_angle_gamma 90.00
_space_group_name_H-M_alt 'P 4/m m m'
_space_group_IT_number 123
_space_group_name_Hall '-P 4 2'
loop_
_atom_site_label
_atom_site_type_symbol
_atom_site_fract_x
_atom_site_fract_y
_atom_site_fract_z
V1 V 0.000 0.500 0.000
Ga1 Ga 0.000 0.000 0.000
Cu1 Cu 0.000 0.000 0.500
C1 C 0.500 0.500 0.500
```